# 1
20
Lattice="-0.9615 0.7601 -3.5294 -2.3914 -8.5101 -1.1812 -8.2795 1.9550 2.6766" Properties=species:S:1:pos:R:3 comment="Pm2AlCo2Ni5 (PBE, relaxed)" e_tot_ev_per_atom=-5.80 sg="P4/mbm, No. 127" formation_energy_ev_per_atom=-0.16 pbc="T T T"
Ni -7.6480 -3.0045 -0.5410
Ni -5.8119 -4.7505 -1.4172
Ni -1.4611 -1.2404 -1.8466
Ni -5.8204 -1.0446 -0.6168
Ni -1.6764 -3.8750 -2.3553
Ni -4.4196 -7.2251 -2.3294
Ni -3.9843 -2.7905 -1.4930
Ni -4.6205 1.3576 -0.4264
Ni -10.1713 -4.5546 -0.1874
Ni -7.2128 1.4301 0.2954
Al -5.3354 -3.2775 0.7477
Al 0.0000 0.0000 0.0000
Co -5.4190 0.1917 1.5176
Co -1.9015 -3.0005 -0.1281
Co -8.7693 -3.5546 1.6235
Co -5.2519 -6.7468 -0.0222
Pm -3.1029 -5.4267 -0.3233
Pm -7.5835 -5.6621 0.8466
Pm -3.0873 -0.8930 0.6488
Pm -7.5679 -1.1284 1.8187

# 2
4
Lattice="-1.0358 2.7041 3.7561 -4.5136 -1.4416 -0.2067 0.7866 -2.7808 2.2188" Properties=species:S:1:pos:R:3 comment="LaTc2Pb (PBE, relaxed)" e_tot_ev_per_atom=-6.91 sg="P4/mmm, No. 123" formation_energy_ev_per_atom=0.44 pbc="T T T"
La -0.1246 -0.0384 2.9875
Tc 0.0000 0.0000 0.0000
Tc -2.7747 0.6312 1.7747
Pb -1.8635 -2.1112 1.0061